No. 1
DFT (meta-GGA SCAN) results for Tl3GaC at its PBEsol-relaxed geometry.

```
Tl3GaC
1.0
4.880 0.000 0.000
0.000 4.880 0.000
0.000 0.000 4.880
Tl Ga C
3 1 1
direct
0.000 0.000 0.500
0.000 0.500 0.000
0.500 0.000 0.000
0.500 0.500 0.500
0.000 0.000 0.000
```

---

No. 2
DFT (meta-GGA SCAN) results for TlGa3C at its PBEsol-relaxed geometry.

```
TlGa3C
1.0
4.403 0.000 0.000
0.000 4.403 0.000
0.000 0.000 4.403
Tl Ga C
1 3 1
direct
0.000 0.000 0.000
0.000 0.500 0.500
0.500 0.000 0.500
0.500 0.500 0.000
0.500 0.500 0.500
```

---

No. 3
DFT (meta-GGA SCAN) results for V2GaC at its PBEsol-relaxed geometry.

```
V2GaC
1.0
2.901 0.000 0.000
-1.450 2.512 0.000
0.000 0.000 12.722
V Ga C
4 2 2
direct
0.333 0.667 0.086
0.333 0.667 0.414
0.667 0.333 0.586
0.667 0.333 0.914
0.333 0.667 0.750
0.667 0.333 0.250
0.000 0.000 0.000
0.000 0.000 0.500
```

---

No. 4
DFT (meta-GGA SCAN) results for ZnGa2WC at its PBEsol-relaxed geometry.

```
ZnGa2WC
1.0
4.867 0.000 0.000
0.000 4.867 0.000
0.000 0.000 4.873
Zn Ga W C
1 2 1 1
direct
0.000 0.000 0.000
0.000 0.500 0.500
0.500 0.000 0.500
0.000 0.000 0.500
0.500 0.500 0.000
```

---

No. 5
DFT (meta-GGA SCAN) results for GdC2 at its PBEsol-relaxed geometry.

```
GdC2
1.0
3.670 0.000 0.000
0.000 3.670 0.000
0.000 0.000 6.215
Gd C
2 4
direct
0.000 0.000 0.000
0.500 0.500 0.500
0.000 0.000 0.395
0.000 0.000 0.605
0.500 0.500 0.105
0.500 0.500 0.895
```

---

No. 6
DFT (meta-GGA SCAN) results for GdH7C2SO8 at its PBEsol-relaxed geometry.

```
GdH7C2SO8
1.0
6.692 0.000 0.000
2.059 6.513 0.000
0.107 3.294 7.847
Gd H C S O
2 14 4 2 16
direct
0.118 0.146 0.134
0.882 0.854 0.866
0.074 0.520 0.712
0.120 0.292 0.429
0.170 0.810 0.506
0.404 0.814 0.448
0.418 0.442 0.838
0.441 0.543 0.341
0.498 0.683 0.734
0.502 0.317 0.266
0.559 0.457 0.659
0.582 0.558 0.162
0.596 0.186 0.552
0.830 0.190 0.494
0.880 0.708 0.571
0.926 0.480 0.288
0.261 0.616 0.113
0.457 0.497 0.230
0.543 0.503 0.770
0.739 0.384 0.887
0.302 0.101 0.745
0.698 0.899 0.255
0.001 0.316 0.345
0.164 0.972 0.737
0.168 0.822 0.078
0.179 0.520 0.040
0.208 0.246 0.841
0.250 0.869 0.410
0.320 0.246 0.569
0.487 0.050 0.168
0.513 0.950 0.832
0.680 0.754 0.431
0.750 0.131 0.590
0.792 0.754 0.159
0.821 0.480 0.960
0.832 0.178 0.922
0.836 0.028 0.263
0.999 0.684 0.655
```

---

No. 7
DFT (meta-GGA SCAN) results for KGdC2O6 at its PBEsol-relaxed geometry.

```
KGdC2O6
1.0
4.185 -4.854 0.000
4.185 4.854 0.000
-2.357 0.000 6.532
K Gd C O
2 2 4 12
direct
0.125 0.875 0.750
0.875 0.125 0.250
0.406 0.594 0.250
0.594 0.406 0.750
0.143 0.393 0.743
0.393 0.143 0.243
0.607 0.857 0.757
0.857 0.607 0.257
0.056 0.592 0.280
0.206 0.250 0.619
0.250 0.206 0.119
0.298 0.531 0.894
0.408 0.944 0.220
0.469 0.702 0.606
0.531 0.298 0.394
0.592 0.056 0.780
0.702 0.469 0.106
0.750 0.794 0.881
0.794 0.750 0.381
0.944 0.408 0.720
```

Raw formation energy ... -2.300 eV per atom

---

No. 8
DFT (meta-GGA SCAN) results for LaGdC4 at its PBEsol-relaxed geometry.

```
LaGdC4
1.0
5.362 0.000 0.000
0.000 6.387 0.000
0.000 0.000 5.362
La Gd C
2 2 8
direct
0.000 0.000 0.000
0.500 0.500 0.000
0.000 0.500 0.500
0.500 0.000 0.500
0.000 0.102 0.500
0.000 0.399 0.000
0.000 0.601 0.000
0.000 0.898 0.500
0.500 0.101 0.000
0.500 0.398 0.500
0.500 0.602 0.500
0.500 0.899 0.000
```

---

no.,total DFT energy (no corrections) (eV for the cell shown)
1,-238.127
2,-127.422
3,-127.518
4,-115.358
5,-159.512
6,-380.476
7,-295.463
8,-287.542